1.
The following is a PBE calculation of a geometry-optimized KSm2O4 structure, from the Open Quantum Materials Database.

Values from the calculation:
Calculated total energy, eV/atom: -6.93
Spin magnetization, μB/f.u.: 1.00
Calculated volume, A^3/atom: 18.85

a b c (Å): 10.1816 10.1816 10.1816
angles (deg): 90.00 90.00 90.00
Space group Fd-3m (No. 227, origin choice 2)
Inequivalent atoms, fractional coordinates:
1 K 0.1250 0.1250 0.1250 (multiplicity 8)
2 Sm 0.0000 0.0000 0.5000 (multiplicity 16)
3 O 0.0215 0.0215 0.7285 (multiplicity 32)

2.
The following is a PBE calculation of a geometry-optimized K2Sm2O5 structure, from the Open Quantum Materials Database.

Values from the calculation:
Calculated total energy, eV/atom: -5.12
Spin magnetization, μB/f.u.: 0.05
Calculated volume, A^3/atom: 15.42

a b c (Å): 4.3540 4.3540 7.3221
angles (deg): 90.00 90.00 90.00
Space group P4/mmm (No. 123)
Inequivalent atoms, fractional coordinates:
1 K 0.0000 0.0000 0.1896 (multiplicity 2)
2 Sm 0.5000 0.5000 0.0000 (multiplicity 1)
3 Sm 0.5000 0.5000 0.5000 (multiplicity 1)
4 O 0.0000 0.0000 0.5000 (multiplicity 1)
5 O 0.0000 0.5000 0.1995 (multiplicity 4)

3.
The following is a PBE calculation of a geometry-optimized K5TaO5 structure, from the Open Quantum Materials Database.

Values from the calculation:
Calculated total energy, eV/atom: -5.76
Spin magnetization, μB/f.u.: 0.00
Calculated volume, A^3/atom: 18.40

a b c (Å): 6.9145 11.2497 10.9259
angles (deg): 90.00 107.72 90.00
Space group C2/c (No. 15)
Inequivalent atoms, fractional coordinates:
1 K 0.0000 0.0714 0.2500 (multiplicity 4)
2 K 0.1138 0.1340 0.5447 (multiplicity 8)
3 K 0.1302 0.3982 0.0933 (multiplicity 8)
4 Ta 0.0000 0.3437 0.7500 (multiplicity 4)
5 O 0.0000 0.1728 0.7500 (multiplicity 4)
6 O 0.1533 0.3506 0.6195 (multiplicity 8)
7 O 0.2248 0.4236 0.8741 (multiplicity 8)

4.
The following is a PBE calculation of a geometry-optimized KTa2O4 structure, from the Open Quantum Materials Database.

Values from the calculation:
Calculated total energy, eV/atom: -8.37
Spin magnetization, μB/f.u.: 0.00
Calculated volume, A^3/atom: 14.09

a b c (Å): 9.2411 9.2411 9.2411
angles (deg): 90.00 90.00 90.00
Space group Fd-3m (No. 227, origin choice 2)
Inequivalent atoms, fractional coordinates:
1 K 0.1250 0.1250 0.1250 (multiplicity 8)
2 Ta 0.0000 0.0000 0.5000 (multiplicity 16)
3 O 0.0225 0.0225 0.7275 (multiplicity 32)

5.
The following is a PBE calculation of a geometry-optimized K2Ta2O5 structure, from the Open Quantum Materials Database.

Values from the calculation:
Calculated total energy, eV/atom: -7.90
Spin magnetization, μB/f.u.: 0.07
Calculated volume, A^3/atom: 13.88

a b c (Å): 4.0009 4.0009 7.8036
angles (deg): 90.00 90.00 90.00
Space group P4/mmm (No. 123)
Inequivalent atoms, fractional coordinates:
1 K 0.0000 0.0000 0.0000 (multiplicity 1)
2 K 0.0000 0.0000 0.5000 (multiplicity 1)
3 Ta 0.5000 0.5000 0.2438 (multiplicity 2)
4 O 0.0000 0.5000 0.2330 (multiplicity 4)
5 O 0.5000 0.5000 0.5000 (multiplicity 1)

6.
The following is a PBE calculation of a geometry-optimized KTa5O13 structure, from the Open Quantum Materials Database.

Values from the calculation:
Calculated total energy, eV/atom: -9.38
Spin magnetization, μB/f.u.: 0.00
Calculated volume, A^3/atom: 13.36

a b c (Å): 5.6522 10.7197 16.7609
angles (deg): 90.00 90.00 90.00
Space group Pbcm (No. 57)
Inequivalent atoms, fractional coordinates:
1 K 0.2040 0.1742 0.2500 (multiplicity 4)
2 Ta 0.1601 0.5633 0.0776 (multiplicity 8)
3 Ta 0.3330 0.2500 0.0000 (multiplicity 4)
4 Ta 0.3458 0.6339 0.6372 (multiplicity 8)
5 O 0.0887 0.5153 0.6405 (multiplicity 8)
6 O 0.1247 0.7204 0.1262 (multiplicity 8)
7 O 0.1274 0.1047 0.5042 (multiplicity 8)
8 O 0.3646 0.6245 0.5126 (multiplicity 8)
9 O 0.3712 0.6596 0.7500 (multiplicity 4)
10 O 0.3972 0.2456 0.1128 (multiplicity 8)
11 O 0.4094 0.0022 0.6388 (multiplicity 8)

7.
The following is a PBE calculation of a geometry-optimized K2Ta2O5 structure, from the Open Quantum Materials Database.

Values from the calculation:
Calculated total energy, eV/atom: -6.85
Spin magnetization, μB/f.u.: 0.72
Calculated volume, A^3/atom: 14.61

a b c (Å): 3.2930 3.2930 12.1248
angles (deg): 90.00 90.00 90.00
Space group P4/mmm (No. 123)
Inequivalent atoms, fractional coordinates:
1 K 0.0000 0.0000 0.2414 (multiplicity 2)
2 Ta 0.5000 0.5000 0.0000 (multiplicity 1)
3 Ta 0.5000 0.5000 0.5000 (multiplicity 1)
4 O 0.0000 0.0000 0.0000 (multiplicity 1)
5 O 0.0000 0.5000 0.3983 (multiplicity 4)

8.
The following is a PBE calculation of a geometry-optimized K2YTaO6 structure, from the Open Quantum Materials Database.

Values from the calculation:
Calculated total energy, eV/atom: -7.35
Spin magnetization, μB/f.u.: 2.00
Calculated volume, A^3/atom: 14.96

a b c (Å): 5.9580 5.9580 8.4304
angles (deg): 90.00 90.00 90.00
Space group I4/m (No. 87)
Inequivalent atoms, fractional coordinates:
1 K 0.0000 0.5000 0.2500 (multiplicity 4)
2 Y 0.0000 0.0000 0.0000 (multiplicity 2)
3 Ta 0.0000 0.0000 0.5000 (multiplicity 2)
4 O 0.0000 0.0000 0.2651 (multiplicity 4)
5 O 0.2284 0.7586 0.5000 (multiplicity 8)

9.
The following is a PBE calculation of a geometry-optimized KTbO3 structure, from the Open Quantum Materials Database.

Values from the calculation:
Calculated total energy, eV/atom: -5.50
Spin magnetization, μB/f.u.: 2.00
Calculated volume, A^3/atom: 16.51

a b c (Å): 6.5344 6.5344 13.3910
angles (deg): 90.00 90.00 120.00
Space group R-3c (No. 167, hexagonal axes)
Inequivalent atoms, fractional coordinates:
1 K 0.0000 0.0000 0.0000 (multiplicity 6)
2 Tb 0.0000 0.0000 0.2500 (multiplicity 6)
3 O 0.0000 0.3274 0.2500 (multiplicity 18)

10.
The following is a PBE calculation of a geometry-optimized KTbO3 structure, from the Open Quantum Materials Database.

Values from the calculation:
Calculated total energy, eV/atom: -5.95
Spin magnetization, μB/f.u.: 2.00
Calculated volume, A^3/atom: 17.87

a b c (Å): 6.4146 6.4146 15.0475
angles (deg): 90.00 90.00 120.00
Space group R-3 (No. 148, hexagonal axes)
Inequivalent atoms, fractional coordinates:
1 K 0.0000 0.0000 0.1196 (multiplicity 6)
2 Tb 0.0000 0.0000 0.3519 (multiplicity 6)
3 O 0.0259 0.6000 0.9281 (multiplicity 18)

11.
The following is a PBE calculation of a geometry-optimized KTbO3 structure, from the Open Quantum Materials Database.

Values from the calculation:
Calculated total energy, eV/atom: -5.90
Spin magnetization, μB/f.u.: 2.00
Calculated volume, A^3/atom: 18.12

a b c (Å): 5.9624 10.1137 6.0111
angles (deg): 90.00 90.00 90.00
Space group Pnma (No. 62)
Inequivalent atoms, fractional coordinates:
1 K 0.0000 0.0000 0.0000 (multiplicity 4)
2 Tb 0.0141 0.2500 0.4615 (multiplicity 4)
3 O 0.2269 0.7500 0.2427 (multiplicity 4)
4 O 0.2411 0.6376 0.7427 (multiplicity 8)

12.
The following is a PBE calculation of a geometry-optimized KTbO3 structure, from the Open Quantum Materials Database.

Values from the calculation:
Calculated total energy, eV/atom: -5.97
Spin magnetization, μB/f.u.: 2.00
Calculated volume, A^3/atom: 17.32

a b c (Å): 6.2622 6.2622 15.2998
angles (deg): 90.00 90.00 120.00
Space group R-3c (No. 167, hexagonal axes)
Inequivalent atoms, fractional coordinates:
1 K 0.0000 0.0000 0.2500 (multiplicity 6)
2 Tb 0.0000 0.0000 0.0000 (multiplicity 6)
3 O 0.0000 0.4677 0.2500 (multiplicity 18)